Computed, not measured: an optimized crystal structure of Li2Sc3Tl6 at the PBE level of DFT.

Cell: 12.793 12.793 12.793 Å, 159.35 159.35 29.36°
Positions (direct):
Li  0.045  0.045  0.000
Li  0.955  0.955  0.000
Sc  0.313  0.313  0.000
Sc  0.500  0.500  0.000
Sc  0.687  0.687  0.000
Tl  0.097  0.597  0.500
Tl  0.195  0.195  0.000
Tl  0.403  0.903  0.500
Tl  0.597  0.097  0.500
Tl  0.805  0.805  0.000
Tl  0.903  0.403  0.500

Values from the calculation:
The value obtained for the energy of formation is -0.03 eV/atom. Its space-group type is I4/mmm. The value obtained for the density of states at the Fermi level is 6.9 states/eV per cell.

---

Computed, not measured: an optimized crystal structure of Li2ScTl at the PBE level of DFT.

Cell: 5.755 5.755 5.755 Å, 143.97 129.47 63.62°
Positions (direct):
Li  0.232  0.232  0.000
Li  0.768  0.768  0.000
Sc  0.500  0.000  0.500
Tl  0.000  0.500  0.500

Values from the calculation:
The value obtained for the energy of formation is -0.10 eV/atom. Its space-group type is Immm. The value obtained for the density of states at the Fermi level is 3.2 states/eV per cell.

---

Computed, not measured: an optimized crystal structure of Li2ScTl at the PBE level of DFT.

Cell: 3.486 3.486 6.980 Å, 90.00 90.00 90.00°
Positions (direct):
Li  0.000  0.000  0.000
Li  0.500  0.500  0.215
Sc  0.000  0.000  0.503
Tl  0.500  0.500  0.769

Values from the calculation:
The value obtained for the energy of formation is -0.07 eV/atom. Its space-group type is P4mm. The value obtained for the density of states at the Fermi level is 3.1 states/eV per cell.

---

Computed, not measured: an optimized crystal structure of LiScTl at the PBE level of DFT.

Cell: 5.888 5.888 5.888 Å, 145.64 145.64 49.38°
Positions (direct):
Li  0.000  0.000  0.000
Sc  0.315  0.315  0.000
Tl  0.632  0.632  0.000

Values from the calculation:
The value obtained for the energy of formation is -0.10 eV/atom. Its space-group type is I4mm. The value obtained for the density of states at the Fermi level is 3.0 states/eV per cell.

---

Let's list energy in order: -3.393, -3.230, -3.206, -3.633 eV per atom.